The following is a PBE-GGA calculation of an optimized crystal structure of La6GaSn, from Alexandria via LeMat-Bulk.

total energy	-39.62	eV/cell
formation energy	-0.379	eV per atom

Lattice parameters (Å, degrees): 4.994 4.994 9.968 90.00 90.00 90.00
Space group P4/mmm (No. 123)
Asymmetric unit:
La (0.000, 0.000, 0.000) [1 per cell]
La (0.000, 0.000, 0.500) [1 per cell]
La (0.000, 0.500, 0.245) [4 per cell]
Ga (0.500, 0.500, 0.000) [1 per cell]
Sn (0.500, 0.500, 0.500) [1 per cell]

---

The following is a PBE-GGA calculation of an optimized crystal structure of NaCd3S3, from Alexandria via LeMat-Bulk.

total energy	-120.32	eV/cell
formation energy without anion corrections	-0.515	eV/atom

Lattice parameters (Å, degrees): 7.7297 7.7297 20.7345 90.00 90.00 120.00
Space group R-3 (No. 148, hexagonal axes)
Asymmetric unit:
Na (0.0000, 0.0000, 0.1685) [6 per cell]
Cd (0.0087, 0.3130, 0.6108) [18 per cell]
S (0.0073, 0.3572, 0.4130) [18 per cell]